[1]
Below is a crystal of NbAgSb2 relaxed with PBEsol, with properties calculated at the SCAN level.

abc: 4.8893 4.8893 4.8893
angles: 60.00 60.00 60.00
Site moments in Bohr magnetons follow the coordinates.
Fractional positions:
Sb  0.2500  0.2500  0.2500  -0.01
Sb  0.7500  0.7500  0.7500  -0.01
Nb  0.0000  0.0000  0.0000  1.12
Ag  0.5000  0.5000  0.5000  0.04

Calculated values
* density: 8.93 g cm⁻³
* formation energy from raw total energies: 0.28 eV per atom

***

[2]
Below is a crystal of LiCu3O4 relaxed with PBEsol, with properties calculated at the SCAN level.

abc: 5.6468 5.6473 6.0621
angles: 115.13 115.95 94.29
Site moments in Bohr magnetons follow the coordinates.
Fractional positions:
Li  0.0000  0.0000  0.0000  0.00
Li  0.0000  0.5000  0.5000  0.00
Cu  0.0000  0.5000  0.0000  0.57
Cu  0.5000  0.5000  0.0000  0.31
Cu  0.0000  0.0000  0.5000  -0.38
Cu  0.5000  0.0000  0.0000  -0.38
Cu  0.5000  0.0000  0.5000  0.30
Cu  0.5000  0.5000  0.5000  0.57
O  0.2481  0.7032  0.9514  0.03
O  0.6658  0.7187  0.9073  0.07
O  0.2482  0.2032  0.4513  0.03
O  0.8114  0.2584  0.5926  0.07
O  0.1886  0.7416  0.4074  0.07
O  0.7518  0.7968  0.5487  0.03
O  0.3342  0.2813  0.0927  0.07
O  0.7519  0.2968  0.0486  0.03

Calculated values
* density: 5.83 g cm⁻³
* formation energy from raw total energies: -1.00 eV per atom

***

[3]
Below is a crystal of SbAs2Br relaxed with PBEsol, with properties calculated at the SCAN level.

abc: 3.9291 4.1065 6.9973
angles: 107.06 106.31 90.00
Fractional positions:
Sb  0.2430  0.7430  0.4859
As  0.9142  0.9142  0.8285
As  0.7909  0.2909  0.5817
Br  0.5519  0.5519  0.1038

Calculated values
* density: 5.66 g cm⁻³
* formation energy from raw total energies: 0.09 eV per atom
* E above lowest polymorph: 33 meV per atom